[1]
{
  "formula": "LiBiRu2C",
  "functional": "PBE-GGA",
  "state": "optimized geometry",
  "magmom_total_mub_per_cell": 0.40,
  "de_polymorph_ev_per_atom": 0.000,
  "delta_e_f_ev_per_atom": 0.50,
  "lattice_angstrom": [[4.033, 0.000, 0.000], [0.000, 4.033, 0.000], [0.000, 0.000, 5.022]],
  "species": ["Li", "Bi", "Ru", "Ru", "C"],
  "frac_coords": [[0.000, 0.000, 0.000], [0.500, 0.500, 0.000], [0.000, 0.500, 0.500], [0.500, 0.000, 0.500], [0.500, 0.500, 0.500]]
}

=====

[2]
{
  "formula": "SrBiP2I",
  "functional": "PBE-GGA",
  "state": "optimized geometry",
  "e_form_raw_mev_per_atom": 239,
  "magmom_total_mub_per_cell": 0.00,
  "lattice_angstrom": [[5.216, 0.000, 0.000], [0.000, 5.216, 0.000], [0.000, 0.000, 6.900]],
  "species": ["Sr", "Bi", "P", "P", "I"],
  "frac_coords": [[0.000, 0.000, 0.000], [0.000, 0.000, 0.500], [0.000, 0.500, 0.500], [0.500, 0.000, 0.500], [0.500, 0.500, 0.000]]
}

=====

[3]
{
  "formula": "La2Al3Cu12Ir",
  "functional": "PBE-GGA",
  "state": "optimized geometry",
  "magmom_total_mub_per_cell": 0.00,
  "delta_e_f_ev_per_atom": 0.06,
  "lattice_angstrom": [[3.051, 1.762, 9.371], [-3.051, 1.762, 9.371], [0.000, -3.523, 9.371]],
  "species": ["La", "La", "Al", "Al", "Al", "Cu", "Cu", "Cu", "Cu", "Cu", "Cu", "Cu", "Cu", "Cu", "Cu", "Cu", "Cu", "Ir"],
  "frac_coords": [[0.151, 0.151, 0.151], [0.849, 0.849, 0.849], [0.000, 0.500, 0.500], [0.500, 0.000, 0.500], [0.500, 0.500, 0.000], [0.082, 0.082, 0.690], [0.082, 0.690, 0.082], [0.147, 0.568, 0.568], [0.310, 0.918, 0.918], [0.432, 0.432, 0.853], [0.432, 0.853, 0.432], [0.568, 0.147, 0.568], [0.568, 0.568, 0.147], [0.690, 0.082, 0.082], [0.853, 0.432, 0.432], [0.918, 0.310, 0.918], [0.918, 0.918, 0.310], [0.500, 0.500, 0.500]]
}

=====

[4]
{
  "formula": "Tl2InCuTe",
  "functional": "PBE-GGA",
  "state": "optimized geometry",
  "e_form_raw_mev_per_atom": -3,
  "magmom_total_mub_per_cell": 0.00,
  "lattice_angstrom": [[5.299, 0.000, 0.000], [0.000, 5.299, 0.000], [0.000, 0.000, 5.166]],
  "species": ["Tl", "Tl", "In", "Cu", "Te"],
  "frac_coords": [[0.000, 0.500, 0.000], [0.500, 0.000, 0.000], [0.000, 0.000, 0.500], [0.000, 0.000, 0.000], [0.500, 0.500, 0.500]]
}

=====

[5]
{
  "formula": "Y2TlCoN",
  "functional": "PBE-GGA",
  "state": "optimized geometry",
  "e_form_raw_mev_per_atom": -623,
  "magmom_total_mub_per_cell": 1.47,
  "lattice_angstrom": [[5.015, 0.000, 0.000], [0.000, 5.015, 0.000], [0.000, 0.000, 3.785]],
  "species": ["Y", "Y", "Tl", "Co", "N"],
  "frac_coords": [[0.000, 0.500, 0.000], [0.500, 0.000, 0.000], [0.000, 0.000, 0.500], [0.500, 0.500, 0.500], [0.500, 0.500, 0.000]]
}

=====

[6]
{
  "formula": "Nd2HO",
  "functional": "PBE-GGA",
  "state": "optimized geometry",
  "magmom_total_mub_per_cell": 0.00,
  "de_polymorph_ev_per_atom": 0.000,
  "lattice_angstrom": [[1.823, 1.052, 5.861], [-1.823, 1.052, 5.861], [0.000, -2.105, 5.861]],
  "species": ["Nd", "Nd", "H", "O"],
  "frac_coords": [[0.245, 0.245, 0.245], [0.755, 0.755, 0.755], [0.000, 0.000, 0.000], [0.500, 0.500, 0.500]]
}

=====

Which D(E_F) belongs to each record? In order, 4.39, 2.11, 9.29, 2.86, 4.06, 2.84 states/eV per cell.